DFT (PBE-GGA) results for a geometry-optimized KScH4C4O10 structure. Values from VASP.

Properties
- Total energy: -6.89 eV per atom
- Spin magnetization: 0.14 Bohr magnetons per cell

Quantum ESPRESSO input file:
```
&SYSTEM
  ibrav = 0, nat = 60, ntyp = 5
/
ATOMIC_SPECIES
O 16.00 O.upf
H 1.01 H.upf
C 12.01 C.upf
Sc 44.96 Sc.upf
K 39.10 K.upf
ATOMIC_POSITIONS angstrom
O 2.463 -5.062 -3.641
O -2.293 -6.889 -2.960
O -4.502 -7.507 -1.616
O 4.494 -6.132 -6.269
O -3.878 -4.669 -2.198
O -0.652 -7.251 -5.322
O -2.662 -2.738 -2.312
O -1.040 -7.622 -1.196
O 2.162 -2.589 -4.986
O 2.204 -6.804 -5.097
O -3.584 -4.980 -4.823
O 1.319 -5.937 -1.124
O 3.836 -10.112 -3.054
O 7.163 -8.255 -4.727
O 4.667 -8.749 -0.634
O 4.297 -8.685 -4.778
O -0.159 -1.660 -2.552
O -1.188 -2.564 0.178
O 1.875 -11.182 -4.496
O -1.246 -10.434 -0.930
O -0.049 -2.045 -5.180
O 4.602 -4.270 -5.006
O 1.938 -2.452 -2.340
O -5.655 -4.372 0.074
O 2.240 -10.586 -0.884
O -2.621 -2.949 -4.962
O -3.260 -8.468 -0.002
O 0.209 -11.482 -2.347
O 2.163 -9.601 -6.074
O 0.817 -9.343 0.343
H 2.917 -1.969 -6.647
H 0.295 -7.055 -5.151
H -1.116 -7.126 -4.467
H 0.513 -6.482 -1.252
H 1.643 -5.713 -2.023
H -0.598 -2.986 -6.769
H -2.793 -11.582 -0.957
H 6.201 -8.426 -4.641
H -1.756 -2.686 -0.613
H -4.991 -4.401 -0.648
H 4.455 -9.147 -1.505
H -0.767 -11.557 -4.006
C -3.236 -3.758 -2.798
C -2.122 -7.406 -1.816
C -0.097 -10.753 -1.357
C 1.087 -10.179 -0.565
C 1.022 -2.263 -4.540
C 3.645 -9.603 -4.198
C 2.790 -5.782 -4.630
C -3.139 -3.909 -4.324
C 2.461 -10.177 -4.990
C -3.404 -7.830 -1.082
C 4.071 -5.359 -5.364
C 0.926 -2.112 -3.015
Sc -1.261 -8.844 0.795
Sc -1.827 -1.219 -3.892
Sc 3.755 -3.126 -3.349
K 0.000 0.000 0.000
K 1.440 -3.584 0.446
K 2.881 -7.168 0.892
CELL_PARAMETERS angstrom
-8.283 -3.353 -0.194
4.629 0.916 -7.591
4.321 -10.751 1.338
```